## PmNdHg (PBE)

Data for PmNdHg after structural relaxation.

abc: 3.828 5.229 5.229
angles: 120.00 90.00 90.00
Element x y z (fractional)
Nd1 0.623 0.667 0.333
Hg1 0.321 0.333 0.667
Pm1 0.056 0.000 0.000

ΔH_f (0 K), meV/atom: -182
Space-group type: P3m1, No. 156

---

## CaSi2P2 (PBE)

Data for CaSi2P2 after structural relaxation.

abc: 3.795 3.795 6.957
angles: 74.17 74.17 90.00
Element x y z (fractional)
P1 0.414 0.414 0.173
P2 0.586 0.586 0.827
Ca1 0.000 0.000 0.000
Si1 0.750 0.250 0.500
Si2 0.250 0.750 0.500

Space-group type: I4/mmm, No. 139
Energy relative to the elements, uncorrected, eV/atom: -0.069